[1]
Computed, not measured: a geometry-optimized LiNdPuAl structure at the PBE-GGA level of DFT.

The structure in POSCAR format:
```
LiNdPuAl
1.0
7.390 0.000 0.000
0.000 7.390 0.000
0.000 0.000 7.390
Li Nd Pu Al
4 4 4 4
direct
0.000 0.000 0.000
0.000 0.500 0.500
0.500 0.000 0.500
0.500 0.500 0.000
0.250 0.250 0.750
0.250 0.750 0.250
0.750 0.250 0.250
0.750 0.750 0.750
0.250 0.250 0.250
0.250 0.750 0.750
0.750 0.250 0.750
0.750 0.750 0.250
0.000 0.000 0.500
0.000 0.500 0.000
0.500 0.000 0.000
0.500 0.500 0.500
```

Computed properties:
Size of the total moment   1.60 μB per atom
Energy of formation from the pure elements   0.02 eV/atom
Space group   No. 216

---

[2]
Computed, not measured: a geometry-optimized LiNd2Al2Rh5 structure at the PBE-GGA level of DFT.

The structure in POSCAR format:
```
LiNd2Al2Rh5
1.0
10.020 0.000 0.000
0.000 10.020 0.000
0.000 0.000 3.490
Li Nd Al Rh
2 4 4 10
direct
0.000 0.000 0.000
0.500 0.500 0.000
0.176 0.324 0.000
0.324 0.824 0.000
0.676 0.176 0.000
0.824 0.676 0.000
0.123 0.623 0.000
0.377 0.123 0.000
0.623 0.877 0.000
0.877 0.377 0.000
0.000 0.500 0.500
0.065 0.792 0.500
0.208 0.065 0.500
0.292 0.565 0.500
0.435 0.292 0.500
0.500 0.000 0.500
0.565 0.708 0.500
0.708 0.435 0.500
0.792 0.935 0.500
0.935 0.208 0.500
```

Computed properties:
Size of the total moment   0.00 μB per atom
Energy of formation from the pure elements   -0.63 eV/atom
Space group   No. 127

---

[3]
Computed, not measured: a geometry-optimized LiNdAlRh structure at the PBE-GGA level of DFT.

The structure in POSCAR format:
```
LiNdAlRh
1.0
6.684 0.000 0.000
0.000 6.684 0.000
0.000 0.000 6.684
Li Nd Al Rh
4 4 4 4
direct
0.000 0.000 0.000
0.000 0.500 0.500
0.500 0.000 0.500
0.500 0.500 0.000
0.250 0.250 0.750
0.250 0.750 0.250
0.750 0.250 0.250
0.750 0.750 0.750
0.250 0.250 0.250
0.250 0.750 0.750
0.750 0.250 0.750
0.750 0.750 0.250
0.000 0.000 0.500
0.000 0.500 0.000
0.500 0.000 0.000
0.500 0.500 0.500
```

Computed properties:
Size of the total moment   0.00 μB per atom
Energy of formation from the pure elements   -0.47 eV/atom
Space group   No. 216

---

[4]
Computed, not measured: a geometry-optimized Li2NdAlS4 structure at the PBE-GGA level of DFT.

The structure in POSCAR format:
```
Li2NdAlS4
1.0
-3.659 3.975 5.329
3.659 -3.975 5.329
3.659 3.975 -5.329
Li Nd Al S
4 2 2 8
direct
0.000 0.000 0.000
0.500 0.000 0.000
0.500 0.000 0.500
0.500 0.500 0.500
0.000 0.500 0.500
0.500 0.500 0.000
0.000 0.000 0.500
0.000 0.500 0.000
0.200 0.240 0.960
0.221 0.760 0.460
0.246 0.232 0.486
0.246 0.760 0.014
0.754 0.240 0.986
0.754 0.768 0.514
0.779 0.240 0.540
0.800 0.760 0.040
```

Computed properties:
Formation energy (no corrections)   -1.408 eV per atom
Size of the total moment   0.00 μB per atom
Space group   No. 74

---

[5]
Computed, not measured: a geometry-optimized LiNdScAl structure at the PBE-GGA level of DFT.

The structure in POSCAR format:
```
LiNdScAl
1.0
7.196 0.000 0.000
0.000 7.196 0.000
0.000 0.000 7.196
Li Nd Sc Al
4 4 4 4
direct
0.000 0.000 0.000
0.000 0.500 0.500
0.500 0.000 0.500
0.500 0.500 0.000
0.250 0.250 0.250
0.250 0.750 0.750
0.750 0.250 0.750
0.750 0.750 0.250
0.250 0.250 0.750
0.250 0.750 0.250
0.750 0.250 0.250
0.750 0.750 0.750
0.000 0.000 0.500
0.000 0.500 0.000
0.500 0.000 0.000
0.500 0.500 0.500
```

Computed properties:
Size of the total moment   0.00 μB per atom
Energy of formation from the pure elements   -0.19 eV/atom
Space group   No. 216

---

[6]
Computed, not measured: a geometry-optimized Li2NdAlSe4 structure at the PBE-GGA level of DFT.

The structure in POSCAR format:
```
Li2NdAlSe4
1.0
-3.851 4.139 5.603
3.851 -4.139 5.603
3.851 4.139 -5.603
Li Nd Al Se
4 2 2 8
direct
0.000 0.000 0.000
0.500 0.000 0.000
0.500 0.000 0.500
0.500 0.500 0.500
0.000 0.500 0.500
0.500 0.500 0.000
0.000 0.000 0.500
0.000 0.500 0.000
0.204 0.239 0.964
0.225 0.761 0.464
0.248 0.233 0.485
0.248 0.763 0.015
0.752 0.237 0.985
0.752 0.767 0.515
0.775 0.239 0.536
0.796 0.761 0.036
```

Computed properties:
Formation energy (no corrections)   -1.266 eV per atom
Size of the total moment   0.00 μB per atom
Space group   No. 74

---

[7]
Computed, not measured: a geometry-optimized LiNdAlSi2 structure at the PBE-GGA level of DFT.

The structure in POSCAR format:
```
LiNdAlSi2
1.0
4.135 0.000 0.000
0.000 4.135 0.000
0.000 0.000 10.894
Li Nd Al Si
2 2 2 4
direct
0.000 0.000 0.000
0.500 0.500 0.500
0.000 0.500 0.250
0.500 0.000 0.750
0.000 0.000 0.500
0.500 0.500 0.000
0.000 0.500 0.640
0.000 0.500 0.860
0.500 0.000 0.140
0.500 0.000 0.360
```

Computed properties:
Formation energy (no corrections)   -0.494 eV per atom
Size of the total moment   0.00 μB per atom
Space group   No. 119

---

[8]
Computed, not measured: a geometry-optimized LiNdSmAl structure at the PBE-GGA level of DFT.

The structure in POSCAR format:
```
LiNdSmAl
1.0
7.468 0.000 0.000
0.000 7.468 0.000
0.000 0.000 7.468
Li Nd Sm Al
4 4 4 4
direct
0.000 0.000 0.000
0.000 0.500 0.500
0.500 0.000 0.500
0.500 0.500 0.000
0.250 0.250 0.250
0.250 0.750 0.750
0.750 0.250 0.750
0.750 0.750 0.250
0.250 0.250 0.750
0.250 0.750 0.250
0.750 0.250 0.250
0.750 0.750 0.750
0.000 0.000 0.500
0.000 0.500 0.000
0.500 0.000 0.000
0.500 0.500 0.500
```

Computed properties:
Size of the total moment   0.00 μB per atom
Energy of formation from the pure elements   -0.19 eV/atom
Space group   No. 216

---

[9]
Computed, not measured: a geometry-optimized Li2NdAlSn2 structure at the PBE-GGA level of DFT.

The structure in POSCAR format:
```
Li2NdAlSn2
1.0
4.487 0.000 0.000
0.000 8.398 0.000
0.000 0.000 7.607
Li Nd Al Sn
4 2 2 4
direct
0.000 0.074 0.000
0.000 0.926 0.500
0.500 0.165 0.334
0.500 0.835 0.834
0.500 0.439 0.966
0.500 0.561 0.466
0.000 0.320 0.634
0.000 0.680 0.134
0.000 0.352 0.254
0.000 0.648 0.754
0.500 0.142 0.705
0.500 0.858 0.205
```

Computed properties:
Size of the total moment   0.00 μB per atom
Energy of formation from the pure elements   -0.44 eV/atom
Space group   No. 26

---

[10]
Computed, not measured: a geometry-optimized LiTbNdAl structure at the PBE-GGA level of DFT.

The structure in POSCAR format:
```
LiTbNdAl
1.0
7.414 0.000 0.000
0.000 7.414 0.000
0.000 0.000 7.414
Li Tb Nd Al
4 4 4 4
direct
0.000 0.000 0.000
0.000 0.500 0.500
0.500 0.000 0.500
0.500 0.500 0.000
0.250 0.250 0.750
0.250 0.750 0.250
0.750 0.250 0.250
0.750 0.750 0.750
0.250 0.250 0.250
0.250 0.750 0.750
0.750 0.250 0.750
0.750 0.750 0.250
0.000 0.000 0.500
0.000 0.500 0.000
0.500 0.000 0.000
0.500 0.500 0.500
```

Computed properties:
Size of the total moment   0.00 μB per atom
Energy of formation from the pure elements   -0.20 eV/atom
Space group   No. 216

---

[11]
Computed, not measured: a geometry-optimized LiNd2AlTe5 structure at the PBE-GGA level of DFT.

The structure in POSCAR format:
```
LiNd2AlTe5
1.0
2.147 -9.649 0.000
2.147 9.649 0.000
0.000 0.000 12.809
Li Nd Al Te
2 4 2 10
direct
0.210 0.790 0.500
0.790 0.210 0.000
0.119 0.881 0.163
0.130 0.870 0.787
0.870 0.130 0.287
0.881 0.119 0.663
0.423 0.577 0.941
0.577 0.423 0.441
0.044 0.956 0.554
0.291 0.709 0.147
0.310 0.690 0.827
0.356 0.644 0.479
0.497 0.503 0.767
0.503 0.497 0.267
0.644 0.356 0.979
0.690 0.310 0.327
0.709 0.291 0.647
0.956 0.044 0.054
```

Computed properties:
Formation energy (no corrections)   -1.092 eV per atom
Size of the total moment   0.00 μB per atom
Space group   No. 36

---

[12]
Computed, not measured: a geometry-optimized Li2NdAlTe4 structure at the PBE-GGA level of DFT.

The structure in POSCAR format:
```
Li2NdAlTe4
1.0
-4.162 4.433 6.061
4.162 -4.433 6.061
4.162 4.433 -6.061
Li Nd Al Te
4 2 2 8
direct
0.000 0.000 0.000
0.500 0.000 0.000
0.500 0.000 0.500
0.500 0.500 0.500
0.000 0.500 0.500
0.500 0.500 0.000
0.000 0.000 0.500
0.000 0.500 0.000
0.207 0.240 0.967
0.227 0.760 0.467
0.252 0.238 0.485
0.252 0.767 0.015
0.748 0.233 0.985
0.748 0.762 0.515
0.773 0.240 0.533
0.793 0.760 0.033
```

Computed properties:
Formation energy (no corrections)   -0.893 eV per atom
Size of the total moment   0.00 μB per atom
Space group   No. 74

---

Question: What is the formula in the eleventh record?
Answer: LiNd2AlTe5